# Y2TcHg | Alexandria | PBEsol | relaxed
# Calculated formation energy   -0.263 eV/atom
# Total energy   -0.244 hartree per atom
# M_tot   0.00 μB per formula unit
data_Y2TcHg
_cell_length_a 3.469
_cell_length_b 3.470
_cell_length_c 7.287
_cell_angle_alpha 90.00
_cell_angle_beta 90.01
_cell_angle_gamma 90.00
_symmetry_space_group_name_H-M 'P 1'
_symmetry_Int_Tables_number 1
loop_
_symmetry_equiv_pos_as_xyz
'x,y,z'
loop_
_atom_site_label
_atom_site_type_symbol
_atom_site_fract_x
_atom_site_fract_y
_atom_site_fract_z
Y1 Y 0.000 0.000 0.721
Hg1 Hg 0.500 0.500 0.000
Tc1 Tc 0.500 0.500 0.500
Y2 Y 0.000 0.000 0.279

# Na2MgSi5O12 | Alexandria | PBEsol | relaxed
# Total energy   -0.274 hartree per atom
# M_tot   0.00 μB per formula unit
data_Na2MgSi5O12
_cell_length_a 9.906
_cell_length_b 9.906
_cell_length_c 9.906
_cell_angle_alpha 109.40
_cell_angle_beta 109.40
_cell_angle_gamma 109.62
_symmetry_space_group_name_H-M 'P 1'
_symmetry_Int_Tables_number 1
loop_
_symmetry_equiv_pos_as_xyz
'x,y,z'
loop_
_atom_site_label
_atom_site_type_symbol
_atom_site_fract_x
_atom_site_fract_y
_atom_site_fract_z
O1 O 0.934 0.693 0.169
O2 O 0.226 0.557 0.741
O3 O 0.814 0.956 0.432
Na1 Na 0.375 0.499 0.624
O4 O 0.544 0.686 0.568
Si1 Si 0.625 0.375 0.250
Si2 Si 0.875 0.499 0.124
O5 O 0.816 0.485 0.259
O6 O 0.696 0.254 0.641
Si3 Si 0.875 0.999 0.624
Si4 Si 0.125 0.875 0.750
Si5 Si 0.125 0.375 0.750
O7 O 0.307 0.476 0.241
O8 O 0.235 0.066 0.759
Na2 Na 0.749 0.625 0.624
O9 O 0.554 0.496 0.859
O10 O 0.943 0.274 0.259
O11 O 0.316 0.057 0.331
Mg1 Mg 0.750 0.750 0.000
Na3 Na 0.875 0.751 0.376
O12 O 0.434 0.265 0.241
O13 O 0.504 0.363 0.059
Na4 Na 0.501 0.125 0.876
O14 O 0.044 0.476 0.857
Si6 Si 0.125 0.375 0.250
Si7 Si 0.375 0.751 0.876
Si8 Si 0.000 0.000 0.000
Si9 Si 0.001 0.625 0.876
O15 O 0.946 0.304 0.559
Na5 Na 0.249 0.625 0.124
O16 O 0.804 0.863 0.859
O17 O 0.936 0.869 0.643
Na6 Na 0.875 0.251 0.876
O18 O 0.726 0.985 0.669
Si10 Si 0.750 0.250 0.500
O19 O 0.436 0.794 0.068
Si11 Si 0.501 0.625 0.376
Si12 Si 0.500 0.500 0.000
O20 O 0.304 0.446 0.941
Na7 Na 0.375 0.999 0.124
O21 O 0.113 0.754 0.559
Si13 Si 0.625 0.875 0.250
O22 O 0.131 0.774 0.068
Mg2 Mg 0.250 0.250 0.000
Mg3 Mg 0.000 0.500 0.500
O23 O 0.206 0.274 0.643
O24 O 0.524 0.381 0.568
O25 O 0.735 0.976 0.169
O26 O 0.807 0.566 0.831
O27 O 0.024 0.193 0.759
O28 O 0.443 0.184 0.669
O29 O 0.637 0.696 0.141
O30 O 0.524 0.765 0.831
O31 O 0.137 0.996 0.941
O32 O 0.054 0.196 0.059
O33 O 0.613 0.054 0.359
O34 O 0.119 0.976 0.432
O35 O 0.196 0.554 0.441
Si14 Si 0.250 0.750 0.500
O36 O 0.746 0.387 0.441
Si15 Si 0.125 0.875 0.250
Si16 Si 0.625 0.375 0.750
O37 O 0.226 0.294 0.357
Si17 Si 0.625 0.875 0.750
O38 O 0.024 0.456 0.143
O39 O 0.726 0.369 0.932
O40 O 0.706 0.064 0.932
O41 O 0.515 0.774 0.331
Si18 Si 0.249 0.125 0.624
O42 O 0.246 0.804 0.359
Si19 Si 0.375 0.251 0.376
Na8 Na 0.001 0.125 0.376
O43 O 0.015 0.684 0.741
O44 O 0.446 0.887 0.641
Si20 Si 0.749 0.125 0.124
Mg4 Mg 0.500 0.000 0.500
O45 O 0.619 0.186 0.143
O46 O 0.314 0.881 0.857
O47 O 0.004 0.946 0.141
O48 O 0.631 0.564 0.357

# Nb6AlGe | Alexandria | PBEsol | relaxed
# Calculated formation energy   -0.250 eV/atom
# Total energy   -0.349 hartree per atom
# M_tot   0.00 μB per formula unit
data_Nb6AlGe
_cell_length_a 5.142
_cell_length_b 5.142
_cell_length_c 5.142
_cell_angle_alpha 90.00
_cell_angle_beta 90.00
_cell_angle_gamma 90.00
_symmetry_space_group_name_H-M 'P 1'
_symmetry_Int_Tables_number 1
loop_
_symmetry_equiv_pos_as_xyz
'x,y,z'
loop_
_atom_site_label
_atom_site_type_symbol
_atom_site_fract_x
_atom_site_fract_y
_atom_site_fract_z
Nb1 Nb 0.500 0.751 0.000
Nb2 Nb 0.000 0.500 0.751
Nb3 Nb 0.751 0.000 0.500
Al1 Al 0.500 0.500 0.500
Nb4 Nb 0.000 0.500 0.249
Nb5 Nb 0.249 0.000 0.500
Ge1 Ge 0.000 0.000 0.000
Nb6 Nb 0.500 0.249 0.000

# LaY2Re | Alexandria | PBEsol | relaxed
# Calculated formation energy   0.212 eV/atom
# Total energy   -0.289 hartree per atom
# Excess energy over the best structure of this formula in the dataset   0 meV/atom
# M_tot   0.00 μB per formula unit
data_LaY2Re
_cell_length_a 3.597
_cell_length_b 5.322
_cell_length_c 6.254
_cell_angle_alpha 115.15
_cell_angle_beta 106.71
_cell_angle_gamma 90.00
_symmetry_space_group_name_H-M 'P 1'
_symmetry_Int_Tables_number 1
loop_
_symmetry_equiv_pos_as_xyz
'x,y,z'
loop_
_atom_site_label
_atom_site_type_symbol
_atom_site_fract_x
_atom_site_fract_y
_atom_site_fract_z
Re1 Re 0.247 0.748 0.493
Y1 Y 0.752 0.251 0.503
La1 La 0.551 0.550 0.101
Y2 Y 0.951 0.951 0.902

# CrRh3 | Alexandria | PBEsol | relaxed
# Calculated formation energy   -0.029 eV/atom
# Total energy   -0.319 hartree per atom
# M_tot   0.88 μB per formula unit
data_CrRh3
_cell_length_a 2.641
_cell_length_b 4.562
_cell_length_c 4.572
_cell_angle_alpha 100.17
_cell_angle_beta 106.79
_cell_angle_gamma 90.00
_symmetry_space_group_name_H-M 'P 1'
_symmetry_Int_Tables_number 1
loop_
_symmetry_equiv_pos_as_xyz
'x,y,z'
loop_
_atom_site_label
_atom_site_type_symbol
_atom_site_fract_x
_atom_site_fract_y
_atom_site_fract_z
Rh1 Rh 0.500 0.500 0.000
Rh2 Rh 0.745 0.244 0.490
Rh3 Rh 0.255 0.756 0.510
Cr1 Cr 0.000 0.000 0.000

# Rb3HgPt | Alexandria | PBEsol | relaxed
# Calculated formation energy   0.598 eV/atom
# Total energy   -0.056 hartree per atom
# M_tot   0.00 μB per formula unit
data_Rb3HgPt
_cell_length_a 6.276
_cell_length_b 6.276
_cell_length_c 6.276
_cell_angle_alpha 90.00
_cell_angle_beta 90.00
_cell_angle_gamma 90.00
_symmetry_space_group_name_H-M 'P 1'
_symmetry_Int_Tables_number 1
loop_
_symmetry_equiv_pos_as_xyz
'x,y,z'
loop_
_atom_site_label
_atom_site_type_symbol
_atom_site_fract_x
_atom_site_fract_y
_atom_site_fract_z
Rb1 Rb 0.000 0.500 0.000
Rb2 Rb 0.500 0.000 0.000
Rb3 Rb 0.000 0.000 0.500
Hg1 Hg 0.000 0.000 0.000
Pt1 Pt 0.500 0.500 0.500

# Li2FeBS | Alexandria | PBEsol | relaxed
# Total energy   -0.173 hartree per atom
# M_tot   1.48 μB per formula unit
data_Li2FeBS
_cell_length_a 3.734
_cell_length_b 4.067
_cell_length_c 4.067
_cell_angle_alpha 90.00
_cell_angle_beta 90.00
_cell_angle_gamma 90.00
_symmetry_space_group_name_H-M 'P 1'
_symmetry_Int_Tables_number 1
loop_
_symmetry_equiv_pos_as_xyz
'x,y,z'
loop_
_atom_site_label
_atom_site_type_symbol
_atom_site_fract_x
_atom_site_fract_y
_atom_site_fract_z
Li1 Li 0.000 0.000 0.500
Li2 Li 0.000 0.500 0.000
B1 B 0.000 0.000 0.000
S1 S 0.500 0.500 0.500
Fe1 Fe 0.500 0.000 0.000

# ZrAlPt3 | Alexandria | PBEsol | relaxed
# Calculated formation energy   0.857 eV/atom
# Total energy   -0.219 hartree per atom
# M_tot   0.00 μB per formula unit
data_ZrAlPt3
_cell_length_a 4.876
_cell_length_b 4.876
_cell_length_c 4.876
_cell_angle_alpha 90.00
_cell_angle_beta 90.00
_cell_angle_gamma 90.00
_symmetry_space_group_name_H-M 'P 1'
_symmetry_Int_Tables_number 1
loop_
_symmetry_equiv_pos_as_xyz
'x,y,z'
loop_
_atom_site_label
_atom_site_type_symbol
_atom_site_fract_x
_atom_site_fract_y
_atom_site_fract_z
Zr1 Zr 0.000 0.000 0.000
Pt1 Pt 0.500 0.000 0.000
Al1 Al 0.500 0.500 0.500
Pt2 Pt 0.000 0.000 0.500
Pt3 Pt 0.000 0.500 0.000